## MnTlIO6 (GGA+U)

Data for crystalline MnTlIO6 at its relaxed geometry. Values from VASP.

The structure in Quantum ESPRESSO input format:
```
&SYSTEM
  ibrav = 0, nat = 9, ntyp = 4
/
ATOMIC_SPECIES
I 126.90 I.upf
O 16.00 O.upf
Tl 204.38 Tl.upf
Mn 54.94 Mn.upf
CELL_PARAMETERS angstrom
5.348 0.078 -0.023
2.742 4.590 0.020
-0.007 0.019 5.267
ATOMIC_POSITIONS crystal
I 0.335 0.336 0.500
O 0.381 0.005 0.699
O 0.627 0.353 0.702
O 0.025 0.606 0.715
O 0.005 0.381 0.301
O 0.606 0.025 0.285
O 0.352 0.627 0.298
Tl 0.998 0.998 0.000
Mn 0.670 0.670 0.500
```

Computed properties:
size of the total moment	3.8	μB/f.u.
DFT total energy	-5.271	eV/atom